[1]
Computed, not measured: LaScBe at its PBEsol-relaxed geometry at the meta-GGA SCAN level of DFT.

Geometry as POSCAR:
```
LaScBe
1.0
4.6432 0.0000 0.0000
-2.3216 4.0211 0.0000
0.0000 0.0000 3.6886
La Sc Be
1 1 1
Direct
0.0000 0.0000 0.0000
0.6667 0.3333 0.5000
0.3333 0.6667 0.5000
```

Space group   P-6m2
Energy of formation from the pure elements   0.25 eV per atom



[2]
Computed, not measured: La2ScBe at its PBEsol-relaxed geometry at the meta-GGA SCAN level of DFT.

Geometry as POSCAR:
```
La2ScBe
1.0
-1.7471 2.4075 5.8866
1.7471 -2.4075 5.8866
1.7471 2.4075 -5.8866
La Sc Be
2 1 1
Direct
0.2025 0.2025 0.0000
0.7975 0.7975 0.0000
0.5000 0.0000 0.5000
0.0000 0.5000 0.5000
```

Space group   Immm
Energy of formation from the pure elements   0.22 eV per atom



[3]
Computed, not measured: LaBe3Se at its PBEsol-relaxed geometry at the meta-GGA SCAN level of DFT.

Geometry as POSCAR:
```
LaBe3Se
1.0
4.4676 0.0000 0.0000
0.0000 4.4676 0.0000
0.0000 0.0000 4.4676
La Be Se
1 3 1
Direct
0.0000 0.0000 0.0000
0.0000 0.5000 0.5000
0.5000 0.0000 0.5000
0.5000 0.5000 0.0000
0.5000 0.5000 0.5000
```

Space group   Pm-3m
Energy relative to the elements, uncorrected   593.5 meV per atom



[4]
Computed, not measured: LaBeSe at its PBEsol-relaxed geometry at the meta-GGA SCAN level of DFT.

Geometry as POSCAR:
```
LaBeSe
1.0
0.0000 3.4125 3.4125
3.4125 0.0000 3.4125
3.4125 3.4125 0.0000
La Be Se
1 1 1
Direct
0.0000 0.0000 0.0000
0.7500 0.7500 0.7500
0.2500 0.2500 0.2500
```

Space group   F-43m
Energy relative to the elements, uncorrected   -263.3 meV per atom



[5]
Computed, not measured: LaBeSe at its PBEsol-relaxed geometry at the meta-GGA SCAN level of DFT.

Geometry as POSCAR:
```
LaBeSe
1.0
0.0000 3.1842 3.1842
3.1842 0.0000 3.1842
3.1842 3.1842 0.0000
La Be Se
1 1 1
Direct
0.0000 0.0000 0.0000
0.7500 0.7500 0.7500
0.5000 0.5000 0.5000
```

Space group   F-43m
Energy relative to the elements, uncorrected   -349.5 meV per atom



[6]
Computed, not measured: La2BeSe at its PBEsol-relaxed geometry at the meta-GGA SCAN level of DFT.

Geometry as POSCAR:
```
La2BeSe
1.0
4.2265 0.0000 0.0000
0.0000 6.0282 0.0000
0.0000 0.0000 4.2504
La Be Se
2 1 1
Direct
0.0000 0.0000 0.0000
0.5000 0.5000 0.4992
0.0000 0.5000 0.9984
0.5000 0.0000 0.5000
```

Space group   Pmm2
Energy relative to the elements, uncorrected   -899.9 meV per atom



[7]
Computed, not measured: La2BeSe at its PBEsol-relaxed geometry at the meta-GGA SCAN level of DFT.

Geometry as POSCAR:
```
La2BeSe
1.0
3.4183 -3.8650 0.0000
3.4183 3.8650 0.0000
0.0000 0.0000 3.5438
La Be Se
2 1 1
Direct
0.0000 0.5000 0.0000
0.5000 0.0000 0.0000
0.0000 0.0000 0.5000
0.5000 0.5000 0.5000
```

Space group   Cmmm
Energy relative to the elements, uncorrected   -753.8 meV per atom



[8]
Computed, not measured: LaBe3Se at its PBEsol-relaxed geometry at the meta-GGA SCAN level of DFT.

Geometry as POSCAR:
```
LaBe3Se
1.0
4.9972 0.0000 0.0000
0.0000 4.9972 0.0000
0.0000 0.0000 4.9972
La Be Se
1 3 1
Direct
0.0000 0.0000 0.0000
0.0000 0.0000 0.5000
0.0000 0.5000 0.0000
0.5000 0.0000 0.0000
0.5000 0.5000 0.5000
```

Space group   Pm-3m
Energy relative to the elements, uncorrected   1980.7 meV per atom



[9]
Computed, not measured: La2BeSe at its PBEsol-relaxed geometry at the meta-GGA SCAN level of DFT.

Geometry as POSCAR:
```
La2BeSe
1.0
0.0000 3.5622 3.5622
3.5622 0.0000 3.5622
3.5622 3.5622 0.0000
La Be Se
2 1 1
Direct
0.0000 0.0000 0.0000
0.2500 0.2500 0.2500
0.7500 0.7500 0.7500
0.5000 0.5000 0.5000
```

Space group   F-43m
Energy relative to the elements, uncorrected   -1.7 meV per atom



[10]
Computed, not measured: LaBe2Si at its PBEsol-relaxed geometry at the meta-GGA SCAN level of DFT.

Geometry as POSCAR:
```
LaBe2Si
1.0
-2.2072 2.2072 7.5084
2.2072 -2.2072 7.5084
2.2072 2.2072 -7.5084
La Be Si
2 4 2
Direct
0.3750 0.6250 0.7500
0.6250 0.3750 0.2500
0.0000 0.0000 0.0000
0.0000 0.0000 0.5000
0.0000 0.5000 0.0000
0.5000 0.0000 0.5000
0.1250 0.8750 0.2500
0.8750 0.1250 0.7500
```

Space group   I4_1/amd
Energy relative to the elements, uncorrected   -150.9 meV per atom



[11]
Computed, not measured: LaBeSi2 at its PBEsol-relaxed geometry at the meta-GGA SCAN level of DFT.

Geometry as POSCAR:
```
LaBeSi2
1.0
0.0000 3.2764 3.2764
3.2764 0.0000 3.2764
3.2764 3.2764 0.0000
La Be Si
1 1 2
Direct
0.0000 0.0000 0.0000
0.7500 0.7500 0.7500
0.2500 0.2500 0.2500
0.5000 0.5000 0.5000
```

Space group   F-43m
Energy relative to the elements, uncorrected   320.4 meV per atom



[12]
Computed, not measured: La2BeSi at its PBEsol-relaxed geometry at the meta-GGA SCAN level of DFT.

Geometry as POSCAR:
```
La2BeSi
1.0
3.9157 0.0000 0.0000
0.0000 2.1595 5.5537
0.0000 -2.1595 5.5537
La Be Si
2 1 1
Direct
0.0000 0.0000 0.0000
0.5000 0.2938 0.2938
0.5000 0.5978 0.5978
0.0000 0.7034 0.7034
```

Space group   Amm2
Energy relative to the elements, uncorrected   -419.3 meV per atom



| no. | VASP energy (eV per cell) |
| --- | --- |
| 1 | -60.9 |
| 2 | -103.9 |
| 3 | -73.3 |
| 4 | -68.3 |
| 5 | -68.6 |
| 6 | -114.2 |
| 7 | -113.7 |
| 8 | -66.3 |
| 9 | -110.6 |
| 10 | -124.9 |
| 11 | -66.2 |
| 12 | -102.3 |